1.
# MgIn2GaHg6

An optimized crystal structure of MgIn2GaHg6 (PBE, the Alexandria database).

Lattice parameters (Å, degrees): 8.8244 8.7747 6.9606 44.32 50.69 44.04
Last column: nearest neighbours and their distance in Å.
Fractional coordinates of all 10 atoms:
1 Hg 0.2414 0.9272 0.4496  1 Ga 2.91, 2 Mg 2.98-3.21, 2 Hg 3.08-3.16, 2 In 3.13-3.15
2 Hg 0.4183 0.6332 0.9815  1 Ga 2.93, 2 In 3.03-3.20, 3 Hg 3.09-3.27, 1 Mg 3.15
3 Hg 0.6575 0.1163 0.6444  1 Ga 2.87, 1 Mg 2.92, 3 In 3.07-3.18, 1 Hg 3.08
4 In 0.6830 0.6021 0.1559  6 Hg 3.03-3.13
5 Hg 0.9116 0.6405 0.3028  1 Ga 2.92, 1 Mg 2.93, 3 In 3.05-3.15, 1 Hg 3.14
6 Ga 0.0518 0.7773 0.4230  6 Hg 2.87-3.19, 1 Mg 3.20
7 Mg 0.2804 0.4251 0.9219  7 Hg 2.92-3.21, 1 Ga 3.20
8 In 0.8431 0.1859 0.8332  7 Hg 3.07-3.20
9 Hg 0.4719 0.0908 0.4194  1 Mg 3.03, 6 Hg 3.08-3.16, 1 In 3.19
10 Hg 0.1026 0.2632 0.8837  1 Mg 2.97, 2 Ga 3.01-3.19, 2 In 3.07-3.08, 2 Hg 3.15-3.16

Formation energy: -0.010 eV per atom
Density of states at the Fermi level: 3.12 states/eV/f.u.
Magnetization: 0.0000 μB per atom

2.
# Mg3InGaHg

An optimized crystal structure of Mg3InGaHg (PBE, the Alexandria database).

Lattice parameters (Å, degrees): 6.0135 6.0135 7.9163 94.06 94.06 67.09
Last column: nearest neighbours and their distance in Å.
Fractional coordinates of all 12 atoms:
1 Mg 0.7464 0.7464 0.4927  1 Ga 2.95, 4 In 3.01, 1 Hg 3.04
2 Hg 0.6320 0.6320 0.8362  7 Mg 2.95-3.06
3 Mg 0.2536 0.2536 0.5073  1 Ga 2.95, 4 In 3.01, 1 Hg 3.04
4 Mg 0.1256 0.6281 0.8503  3 Hg 2.95-3.06, 3 Ga 3.00-3.04, 1 In 3.13, 2 Mg 3.27-3.31
5 In 0.7575 0.2425 0.5000  6 Mg 3.01-3.13, 2 Ga 3.21, 1 In 3.22, 2 Hg 3.34
6 Mg 0.6281 0.1256 0.8503  3 Hg 2.95-3.06, 3 Ga 3.00-3.04, 1 In 3.13, 2 Mg 3.27-3.31
7 In 0.2425 0.7575 0.5000  6 Mg 3.01-3.13, 2 Ga 3.21, 1 In 3.22, 2 Hg 3.34
8 Mg 0.3719 0.8744 0.1497  3 Hg 2.95-3.06, 3 Ga 3.00-3.04, 1 In 3.13, 2 Mg 3.27-3.31
9 Hg 0.3680 0.3680 0.1638  7 Mg 2.95-3.06
10 Ga 0.1240 0.1240 0.8278  7 Mg 2.95-3.04, 2 In 3.21
11 Ga 0.8760 0.8760 0.1722  7 Mg 2.95-3.04, 2 In 3.21
12 Mg 0.8744 0.3719 0.1497  3 Hg 2.95-3.06, 3 Ga 3.00-3.04, 1 In 3.13, 2 Mg 3.27-3.31

Formation energy: -0.119 eV per atom
Density of states at the Fermi level: 1.56 states/eV/f.u.
Magnetization: 0.0000 μB per atom

3.
# NaIn2GaHg5

An optimized crystal structure of NaIn2GaHg5 (PBE, the Alexandria database).

Lattice parameters (Å, degrees): 3.3912 8.4890 16.6811 90.00 90.00 101.52
Last column: nearest neighbours and their distance in Å.
Fractional coordinates of all 18 atoms:
1 Hg 0.0432 0.0863 0.5847  1 Ga 2.87, 1 In 3.04, 2 Na 3.14
2 Hg 0.3319 0.6638 0.6433  2 Ga 2.88, 1 In 3.00, 1 Hg 3.14
3 Hg 0.4906 0.9812 0.7449  1 Na 3.06, 6 Hg 3.14-3.40
4 Hg 0.6681 0.3362 0.1433  2 Ga 2.88, 1 In 3.00, 1 Hg 3.14
5 Hg 0.5094 0.0188 0.2449  1 Na 3.06, 6 Hg 3.14-3.40
6 Hg 0.7056 0.4112 0.5024  1 Ga 3.00, 1 Na 3.11
7 In 0.8322 0.6645 0.2178  4 Hg 3.00-3.16
8 In 0.1678 0.3355 0.7178  4 Hg 3.00-3.16
9 Hg 0.3534 0.7068 0.3761  2 Ga 2.91, 3 In 3.12-3.16, 1 Na 3.13
10 Hg 0.6466 0.2932 0.8761  2 Ga 2.91, 3 In 3.12-3.16, 1 Na 3.13
11 Hg 0.2944 0.5888 0.0024  1 Ga 3.00, 1 Na 3.11
12 Na 0.4652 0.9303 0.9265  5 Hg 3.06-3.14, 2 Ga 3.34, 2 Na 3.39
13 Hg 0.9568 0.9137 0.0847  1 Ga 2.87, 1 In 3.04, 2 Na 3.14
14 In 0.1766 0.3531 0.3140  5 Hg 3.12-3.45, 4 In 3.39-3.49, 2 Na 3.46
15 Ga 0.1142 0.2285 0.0144  6 Hg 2.87-3.00
16 In 0.8234 0.6469 0.8140  5 Hg 3.12-3.45, 4 In 3.39-3.49, 2 Na 3.46
17 Na 0.5348 0.0697 0.4265  5 Hg 3.06-3.14, 2 Ga 3.34, 2 Na 3.39
18 Ga 0.8858 0.7715 0.5144  6 Hg 2.87-3.00

Formation energy: -0.028 eV per atom
Density of states at the Fermi level: 2.57 states/eV/f.u.
Magnetization: 0.0000 μB per atom

4.
# NaInGaHg

An optimized crystal structure of NaInGaHg (PBE, the Alexandria database).

Lattice parameters (Å, degrees): 5.1175 5.1175 5.1175 60.00 60.00 60.00
Last column: nearest neighbours and their distance in Å.
Fractional coordinates of all 4 atoms:
1 Na 0.5000 0.5000 0.5000  4 Ga 3.13, 4 Hg 3.13
2 In 0.0000 0.0000 0.0000  4 Hg 3.13, 4 Ga 3.13
3 Hg 0.7500 0.7500 0.7500  4 In 3.13, 4 Na 3.13
4 Ga 0.2500 0.2500 0.2500  4 In 3.13, 4 Na 3.13

Formation energy: -0.085 eV per atom
Density of states at the Fermi level: 1.96 states/eV/f.u.
Energy above the most stable polymorph in this dataset: 0 meV/atom
Magnetization: 0.0000 μB per atom

5.
# NaInGaHg

An optimized crystal structure of NaInGaHg (PBE, the Alexandria database).

Lattice parameters (Å, degrees): 4.8547 4.8261 5.4559 79.34 90.00 120.20
Last column: nearest neighbours and their distance in Å.
Fractional coordinates of all 4 atoms:
1 Na 0.5870 0.1740 0.4599  3 Hg 3.10, 3 Ga 3.13-3.17, 3 In 3.45
2 In 0.8683 0.7366 0.8406  3 Ga 2.80-2.88, 2 Hg 3.13
3 Ga 0.2114 0.4229 0.7311  2 Hg 2.79-2.81, 3 In 2.80-2.88
4 Hg 0.2876 0.5752 0.2075  2 Ga 2.79-2.81, 3 Na 3.10

Formation energy: -0.058 eV per atom
Density of states at the Fermi level: 1.41 states/eV/f.u.
Energy above the most stable polymorph in this dataset: 27 meV/atom
Magnetization: 0.0000 μB per atom

6.
# Nd4In2GaHg

An optimized crystal structure of Nd4In2GaHg (PBE, the Alexandria database).

Lattice parameters (Å, degrees): 5.4271 5.4271 9.3667 73.16 73.16 60.00
Last column: nearest neighbours and their distance in Å.
Fractional coordinates of all 8 atoms:
1 Nd 0.1278 0.1278 0.6167  3 Ga 3.30, 4 In 3.32-3.38, 1 Hg 3.38
2 Hg 0.0000 0.0000 0.0000  8 Nd 3.35-3.38
3 Nd 0.8722 0.8722 0.3833  3 Ga 3.30, 4 In 3.32-3.38, 1 Hg 3.38
4 In 0.7470 0.7470 0.7590  8 Nd 3.27-3.38
5 Ga 0.5000 0.5000 0.5000  8 Nd 3.22-3.30
6 Nd 0.6216 0.6216 0.1351  1 Ga 3.22, 4 In 3.27-3.32, 3 Hg 3.35
7 In 0.2530 0.2530 0.2410  8 Nd 3.27-3.38
8 Nd 0.3784 0.3784 0.8649  1 Ga 3.22, 4 In 3.27-3.32, 3 Hg 3.35

Formation energy: -0.487 eV per atom
Density of states at the Fermi level: 8.71 states/eV/f.u.
Magnetization: 0.0000 μB per atom

7.
# NdInGaHg

An optimized crystal structure of NdInGaHg (PBE, the Alexandria database).

Lattice parameters (Å, degrees): 5.1922 5.1922 5.1922 60.00 60.00 60.00
Last column: nearest neighbours and their distance in Å.
Fractional coordinates of all 4 atoms:
1 In 0.7500 0.7500 0.7500  4 Hg 3.18, 4 Ga 3.18
2 Hg 0.5000 0.5000 0.5000  4 Nd 3.18, 4 In 3.18
3 Ga 0.0000 0.0000 0.0000  4 In 3.18, 4 Nd 3.18
4 Nd 0.2500 0.2500 0.2500  4 Hg 3.18, 4 Ga 3.18

Formation energy: -0.315 eV per atom
Density of states at the Fermi level: 4.17 states/eV/f.u.
Magnetization: 0.0000 μB per atom

8.
# Nd3In3GaHg2

An optimized crystal structure of Nd3In3GaHg2 (PBE, the Alexandria database).

Lattice parameters (Å, degrees): 3.8791 8.5508 8.5508 120.00 90.00 90.00
Last column: nearest neighbours and their distance in Å.
Fractional coordinates of all 9 atoms:
1 Nd 0.5000 0.0000 0.7221  2 Ga 3.07, 2 Hg 3.11, 2 In 3.43
2 Ga 0.0000 0.0000 0.0000  6 Nd 3.07, 3 In 3.35
3 Nd 0.5000 0.7221 0.0000  2 Ga 3.07, 2 Hg 3.11, 2 In 3.43
4 In 0.0000 0.3913 0.0000  4 Hg 3.27, 1 Ga 3.35, 6 Nd 3.43-3.56
5 In 0.0000 0.6087 0.6087  4 Hg 3.27, 1 Ga 3.35, 6 Nd 3.43-3.56
6 Hg 0.5000 0.3333 0.6667  3 Nd 3.11, 6 In 3.27
7 Nd 0.5000 0.2779 0.2779  2 Ga 3.07, 2 Hg 3.11, 2 In 3.43
8 Hg 0.5000 0.6667 0.3333  3 Nd 3.11, 6 In 3.27
9 In 0.0000 0.0000 0.3913  4 Hg 3.27, 1 Ga 3.35, 6 Nd 3.43-3.56

Formation energy: -0.362 eV per atom
Density of states at the Fermi level: 3.80 states/eV/f.u.
Magnetization: 0.0000 μB per atom

9.
# InGa2NiHg

An optimized crystal structure of InGa2NiHg (PBE, the Alexandria database).

Lattice parameters (Å, degrees): 4.6270 4.6270 5.1249 90.00 90.00 90.00
Last column: nearest neighbours and their distance in Å.
Fractional coordinates of all 5 atoms:
1 In 0.5000 0.5000 0.5000  4 Hg 3.27, 8 Ga 3.45
2 Hg 0.0000 0.0000 0.5000  2 Ni 2.56
3 Ga 0.0000 0.5000 0.0000  2 Ni 2.31
4 Ni 0.0000 0.0000 0.0000  4 Ga 2.31, 2 Hg 2.56
5 Ga 0.5000 0.0000 0.0000  2 Ni 2.31

Formation energy: -0.008 eV per atom
Density of states at the Fermi level: 2.43 states/eV/f.u.
Energy above the most stable polymorph in this dataset: 77 meV/atom
Magnetization: 0.0000 μB per atom

10.
# In2GaNiHg

An optimized crystal structure of In2GaNiHg (PBE, the Alexandria database).

Lattice parameters (Å, degrees): 5.0302 5.0302 4.6456 90.00 90.00 90.00
Last column: nearest neighbours and their distance in Å.
Fractional coordinates of all 5 atoms:
1 Ga 0.0000 0.0000 0.5000  2 Ni 2.32
2 Ni 0.0000 0.0000 0.0000  2 Ga 2.32, 4 In 2.52
3 In 0.0000 0.5000 0.0000  2 Ni 2.52
4 In 0.5000 0.0000 0.0000  2 Ni 2.52
5 Hg 0.5000 0.5000 0.5000  8 In 3.42, 4 Ga 3.56

Formation energy: -0.071 eV per atom
Density of states at the Fermi level: 1.88 states/eV/f.u.
Magnetization: 0.0000 μB per atom

11.
# InGa2NiHg

An optimized crystal structure of InGa2NiHg (PBE, the Alexandria database).

Lattice parameters (Å, degrees): 4.6560 4.6560 5.0423 90.00 90.00 90.00
Last column: nearest neighbours and their distance in Å.
Fractional coordinates of all 5 atoms:
1 In 0.0000 0.0000 0.5000  2 Ni 2.52
2 Ga 0.0000 0.5000 0.0000  2 Ni 2.33
3 Hg 0.5000 0.5000 0.5000  4 In 3.29, 8 Ga 3.43
4 Ni 0.0000 0.0000 0.0000  4 Ga 2.33, 2 In 2.52
5 Ga 0.5000 0.0000 0.0000  2 Ni 2.33

Formation energy: -0.085 eV per atom
Density of states at the Fermi level: 2.06 states/eV/f.u.
Energy above the most stable polymorph in this dataset: 0 meV/atom
Magnetization: 0.0000 μB per atom